# Zr2Al5Cu (meta-GGA SCAN, single point on PBEsol structure)
# DFT total energy in eV per atom: -14.952
# Theoretical density in g/cm³: 4.8
# N(E_F) in states/eV/atom: 0.2986
data_Zr2Al5Cu
_chemical_formula_sum 'Zr4 Al10 Cu2'
_symmetry_space_group_name_H-M 'P b a m'
_symmetry_Int_Tables_number 55
_cell_length_a 5.691
_cell_length_b 11.351
_cell_length_c 4.047
_cell_angle_alpha 90.00
_cell_angle_beta 90.00
_cell_angle_gamma 90.00
loop_
_symmetry_equiv_pos_as_xyz
'x,y,z'
'-x,-y,-z'
'-x,-y,z'
'x,y,-z'
'x+1/2,-y+1/2,-z'
'-x+1/2,y+1/2,z'
'-x+1/2,y+1/2,-z'
'x+1/2,-y+1/2,z'
loop_
_atom_site_label
_atom_site_type_symbol
_atom_site_fract_x
_atom_site_fract_y
_atom_site_fract_z
_atom_site_occupancy
Zr1 Zr 0.234 0.130 0.000 1
Al1 Al 0.000 0.000 0.500 1
Al2 Al 0.007 0.743 0.500 1
Al3 Al 0.231 0.383 0.000 1
Cu1 Cu 0.000 0.500 0.500 1